## DyYEr2 (PBE)

Data for crystalline DyYEr2 at its relaxed geometry.

Unit cell a=5.642 b=5.642 c=5.642 alpha=60.00 beta=60.00 gamma=60.00
Fractional coordinates of all 4 atoms:
Dy1 0.000 0.000 0.000
Y1 0.500 0.500 0.500
Er1 0.250 0.250 0.250
Er2 0.750 0.750 0.750

Computed properties:
**SG**: Fm-3m (225)
**Distance to the lowest polymorph of the same formula**: 0.134 eV/atom
**Density**: 7.660 Mg/m³

***

## Dy4Y8Er3 (PBE)

Data for crystalline Dy4Y8Er3 at its relaxed geometry.

Unit cell a=12.385 b=12.385 c=12.385 alpha=32.51 beta=32.51 gamma=32.51
Fractional coordinates of all 15 atoms:
Dy1 0.000 0.000 0.000
Dy2 0.164 0.164 0.164
Dy3 0.500 0.500 0.500
Dy4 0.836 0.836 0.836
Y1 0.250 0.250 0.748
Y2 0.250 0.748 0.250
Y3 0.252 0.750 0.750
Y4 0.255 0.255 0.255
Y5 0.745 0.745 0.745
Y6 0.748 0.250 0.250
Y7 0.750 0.252 0.750
Y8 0.750 0.750 0.252
Er1 0.000 0.500 0.500
Er2 0.500 0.000 0.500
Er3 0.500 0.500 0.000

Computed properties:
**SG**: R-3m (166)
**Distance to the lowest polymorph of the same formula**: 0.000 eV/atom
**Density**: 6.341 Mg/m³

***

## Dy12YEr5 (PBE)

Data for crystalline Dy12YEr5 at its relaxed geometry.

Unit cell a=6.140 b=6.140 c=17.311 alpha=93.39 beta=93.39 gamma=119.99
Fractional coordinates of all 18 atoms:
Dy1 0.056 0.390 0.166
Dy2 0.111 0.111 0.332
Dy3 0.220 0.555 0.668
Dy4 0.277 0.277 0.834
Dy5 0.390 0.056 0.166
Dy6 0.445 0.780 0.332
Dy7 0.555 0.220 0.668
Dy8 0.610 0.944 0.834
Dy9 0.723 0.723 0.166
Dy10 0.780 0.445 0.332
Dy11 0.889 0.889 0.668
Dy12 0.944 0.610 0.834
Y1 0.500 0.500 0.500
Er1 0.000 0.000 0.000
Er2 0.167 0.833 0.500
Er3 0.333 0.667 0.000
Er4 0.667 0.333 0.000
Er5 0.833 0.167 0.500

Computed properties:
**SG**: C2/m (12)
**Density**: 8.506 Mg/m³

***

## Dy12YEr7 (PBE)

Data for crystalline Dy12YEr7 at its relaxed geometry.

Unit cell a=9.741 b=9.741 c=9.741 alpha=109.47 beta=109.47 gamma=109.47
Fractional coordinates of all 20 atoms:
Dy1 0.000 0.252 0.748
Dy2 0.000 0.748 0.252
Dy3 0.252 0.000 0.748
Dy4 0.252 0.252 0.505
Dy5 0.252 0.505 0.252
Dy6 0.252 0.748 0.000
Dy7 0.495 0.748 0.748
Dy8 0.505 0.252 0.252
Dy9 0.748 0.000 0.252
Dy10 0.748 0.252 0.000
Dy11 0.748 0.495 0.748
Dy12 0.748 0.748 0.495
Y1 0.000 0.000 0.000
Er1 0.000 0.000 0.500
Er2 0.000 0.500 0.000
Er3 0.000 0.500 0.500
Er4 0.500 0.000 0.000
Er5 0.500 0.000 0.500
Er6 0.500 0.500 0.000
Er7 0.500 0.500 0.500

Computed properties:
**SG**: Im-3m (229)
**Distance to the lowest polymorph of the same formula**: 0.420 eV/atom
**Density**: 7.491 Mg/m³

***

## DyYErZn (PBE)

Data for crystalline DyYErZn at its relaxed geometry.

Unit cell a=3.556 b=3.556 c=8.600 alpha=90.00 beta=90.00 gamma=90.00
Fractional coordinates of all 4 atoms:
Dy1 0.000 0.000 0.000
Y1 0.500 0.500 0.702
Er1 0.500 0.500 0.291
Zn1 0.000 0.000 0.492

Computed properties:
**SG**: P4mm (99)
**Density**: 7.394 Mg/m³

***

## Dy3Y2Er6Zr (PBE)

Data for crystalline Dy3Y2Er6Zr at its relaxed geometry.

Unit cell a=6.054 b=6.054 c=11.567 alpha=94.98 beta=94.98 gamma=119.92
Fractional coordinates of all 12 atoms:
Dy1 0.000 0.000 0.000
Dy2 0.333 0.667 0.000
Dy3 0.667 0.333 0.000
Y1 0.167 0.833 0.500
Y2 0.833 0.167 0.500
Er1 0.093 0.419 0.254
Er2 0.256 0.256 0.745
Er3 0.419 0.093 0.254
Er4 0.581 0.907 0.746
Er5 0.744 0.744 0.255
Er6 0.907 0.581 0.746
Zr1 0.500 0.500 0.500

Computed properties:
**SG**: C2/m (12)
**Density**: 8.076 Mg/m³

***

## Dy6Y2Er3Zr (PBE)

Data for crystalline Dy6Y2Er3Zr at its relaxed geometry.

Unit cell a=6.067 b=6.067 c=11.594 alpha=94.97 beta=94.97 gamma=119.90
Fractional coordinates of all 12 atoms:
Dy1 0.082 0.409 0.747
Dy2 0.244 0.244 0.254
Dy3 0.409 0.082 0.747
Dy4 0.591 0.918 0.253
Dy5 0.756 0.756 0.746
Dy6 0.918 0.591 0.253
Y1 0.333 0.667 0.500
Y2 0.667 0.333 0.500
Er1 0.167 0.833 0.000
Er2 0.500 0.500 0.000
Er3 0.833 0.167 0.000
Zr1 0.000 0.000 0.500

Computed properties:
**SG**: C2/m (12)
**Density**: 7.956 Mg/m³

***

## DyYErZr (PBE)

Data for crystalline DyYErZr at its relaxed geometry.

Unit cell a=5.497 b=5.497 c=5.497 alpha=60.00 beta=60.00 gamma=60.00
Fractional coordinates of all 4 atoms:
Dy1 0.000 0.000 0.000
Y1 0.750 0.750 0.750
Er1 0.500 0.500 0.500
Zr1 0.250 0.250 0.250

Computed properties:
**SG**: F-43m (216)
**Density**: 7.209 Mg/m³

***

## Dy2Y6Er3Zr (PBE)

Data for crystalline Dy2Y6Er3Zr at its relaxed geometry.

Unit cell a=6.084 b=6.084 c=11.646 alpha=94.97 beta=94.97 gamma=119.91
Fractional coordinates of all 12 atoms:
Dy1 0.167 0.833 0.000
Dy2 0.833 0.167 0.000
Y1 0.091 0.418 0.754
Y2 0.255 0.255 0.245
Y3 0.418 0.091 0.754
Y4 0.582 0.909 0.246
Y5 0.745 0.745 0.755
Y6 0.909 0.582 0.246
Er1 0.000 0.000 0.500
Er2 0.333 0.667 0.500
Er3 0.667 0.333 0.500
Zr1 0.500 0.500 0.000

Computed properties:
**SG**: C2/m (12)
**Density**: 6.549 Mg/m³

***

## Dy2Er2Zn3 (PBE)

Data for crystalline Dy2Er2Zn3 at its relaxed geometry.

Unit cell a=4.970 b=4.970 c=8.544 alpha=106.80 beta=106.80 gamma=60.19
Fractional coordinates of all 7 atoms:
Dy1 0.127 0.127 0.381
Dy2 0.873 0.873 0.619
Er1 0.378 0.378 0.134
Er2 0.622 0.622 0.866
Zn1 0.000 0.000 0.000
Zn2 0.252 0.252 0.758
Zn3 0.748 0.748 0.242

Computed properties:
**SG**: C2/m (12)
**Density**: 8.233 Mg/m³

***

## Dy4Er3Zn (PBE)

Data for crystalline Dy4Er3Zn at its relaxed geometry.

Unit cell a=3.536 b=3.536 c=18.543 alpha=90.00 beta=90.00 gamma=90.00
Fractional coordinates of all 8 atoms:
Dy1 0.000 0.000 0.096
Dy2 0.000 0.000 0.366
Dy3 0.000 0.000 0.634
Dy4 0.000 0.000 0.904
Er1 0.500 0.500 0.233
Er2 0.500 0.500 0.500
Er3 0.500 0.500 0.767
Zn1 0.500 0.500 0.000

Computed properties:
**SG**: P4/mmm (123)
**Density**: 8.719 Mg/m³

***

## DyErZn4 (PBE)

Data for crystalline DyErZn4 at its relaxed geometry.

Unit cell a=5.441 b=5.441 c=5.441 alpha=60.00 beta=60.00 gamma=60.00
Fractional coordinates of all 6 atoms:
Dy1 0.000 0.000 0.000
Er1 0.750 0.750 0.750
Zn1 0.375 0.375 0.375
Zn2 0.375 0.375 0.875
Zn3 0.375 0.875 0.375
Zn4 0.875 0.375 0.375

Computed properties:
**SG**: F-43m (216)
**Distance to the lowest polymorph of the same formula**: 0.043 eV/atom
**Density**: 8.621 Mg/m³

***

## Dy3Er2Zn2 (PBE)

Data for crystalline Dy3Er2Zn2 at its relaxed geometry.

Unit cell a=6.680 b=6.680 c=8.947 alpha=114.65 beta=114.65 gamma=31.75
Fractional coordinates of all 7 atoms:
Dy1 0.000 0.000 0.000
Dy2 0.111 0.111 0.441
Dy3 0.889 0.889 0.559
Er1 0.352 0.352 0.188
Er2 0.648 0.648 0.812
Zn1 0.320 0.320 0.777
Zn2 0.680 0.680 0.223

Computed properties:
**SG**: C2/m (12)
**Distance to the lowest polymorph of the same formula**: 0.000 eV/atom
**Density**: 8.359 Mg/m³

***

## DyEr4Zn (PBE)

Data for crystalline DyEr4Zn at its relaxed geometry.

Unit cell a=3.519 b=3.519 c=13.570 alpha=90.00 beta=90.00 gamma=90.00
Fractional coordinates of all 6 atoms:
Dy1 0.000 0.000 0.000
Er1 0.000 0.000 0.370
Er2 0.000 0.000 0.630
Er3 0.500 0.500 0.183
Er4 0.500 0.500 0.817
Zn1 0.500 0.500 0.500

Computed properties:
**SG**: P4/mmm (123)
**Distance to the lowest polymorph of the same formula**: 0.000 eV/atom
**Density**: 8.864 Mg/m³

***

## Dy4ErZn4 (PBE)

Data for crystalline Dy4ErZn4 at its relaxed geometry.

Unit cell a=8.713 b=8.713 c=6.118 alpha=90.00 beta=90.00 gamma=90.00
Fractional coordinates of all 18 atoms:
Dy1 0.033 0.658 0.148
Dy2 0.158 0.967 0.648
Dy3 0.342 0.533 0.648
Dy4 0.467 0.842 0.148
Dy5 0.533 0.158 0.852
Dy6 0.658 0.467 0.352
Dy7 0.842 0.033 0.352
Dy8 0.967 0.342 0.852
Er1 0.250 0.250 0.250
Er2 0.750 0.750 0.750
Zn1 0.026 0.633 0.617
Zn2 0.133 0.974 0.117
Zn3 0.367 0.526 0.117
Zn4 0.474 0.867 0.617
Zn5 0.526 0.133 0.383
Zn6 0.633 0.474 0.883
Zn7 0.867 0.026 0.883
Zn8 0.974 0.367 0.383

Computed properties:
**SG**: P4_2/n (86)
**Density**: 7.714 Mg/m³

***

## Dy3ErZn8 (PBE)

Data for crystalline Dy3ErZn8 at its relaxed geometry.

Unit cell a=9.412 b=9.412 c=9.412 alpha=33.73 beta=33.73 gamma=33.73
Fractional coordinates of all 12 atoms:
Dy1 0.000 0.000 0.000
Dy2 0.125 0.125 0.125
Dy3 0.500 0.500 0.500
Er1 0.625 0.625 0.625
Zn1 0.062 0.062 0.563
Zn2 0.062 0.562 0.562
Zn3 0.062 0.563 0.062
Zn4 0.312 0.312 0.312
Zn5 0.562 0.062 0.562
Zn6 0.562 0.562 0.062
Zn7 0.563 0.062 0.062
Zn8 0.812 0.812 0.812

Computed properties:
**SG**: R3m (160)
**Density**: 8.540 Mg/m³

***

## Dy2ErZn (PBE)

Data for crystalline Dy2ErZn at its relaxed geometry.

Unit cell a=5.307 b=5.307 c=5.307 alpha=60.00 beta=60.00 gamma=60.00
Fractional coordinates of all 4 atoms:
Dy1 0.250 0.250 0.250
Dy2 0.750 0.750 0.750
Er1 0.000 0.000 0.000
Zn1 0.500 0.500 0.500

Computed properties:
**SG**: Fm-3m (225)
**Distance to the lowest polymorph of the same formula**: 0.201 eV/atom
**Density**: 8.761 Mg/m³

***

## DyEr6Zn (PBE)

Data for crystalline DyEr6Zn at its relaxed geometry.

Unit cell a=6.193 b=6.193 c=6.193 alpha=95.52 beta=95.52 gamma=95.52
Fractional coordinates of all 8 atoms:
Dy1 0.000 0.000 0.000
Er1 0.075 0.544 0.264
Er2 0.264 0.075 0.544
Er3 0.456 0.736 0.925
Er4 0.544 0.264 0.075
Er5 0.736 0.925 0.456
Er6 0.925 0.456 0.736
Zn1 0.500 0.500 0.500

Computed properties:
**SG**: R-3 (148)
**Density**: 8.744 Mg/m³

***

## Dy2Er3Zn2 (PBE)

Data for crystalline Dy2Er3Zn2 at its relaxed geometry.

Unit cell a=6.025 b=6.025 c=8.032 alpha=113.41 beta=113.41 gamma=45.72
Fractional coordinates of all 7 atoms:
Dy1 0.135 0.135 0.287
Dy2 0.865 0.865 0.713
Er1 0.366 0.366 0.041
Er2 0.500 0.500 0.500
Er3 0.634 0.634 0.959
Zn1 0.151 0.151 0.687
Zn2 0.849 0.849 0.313

Computed properties:
**SG**: C2/m (12)
**Distance to the lowest polymorph of the same formula**: 0.038 eV/atom
**Density**: 8.443 Mg/m³

***

## DyEr2Zn9 (PBE)

Data for crystalline DyEr2Zn9 at its relaxed geometry.

Unit cell a=9.084 b=9.084 c=9.084 alpha=34.71 beta=34.71 gamma=34.71
Fractional coordinates of all 12 atoms:
Dy1 0.000 0.000 0.000
Er1 0.140 0.140 0.140
Er2 0.860 0.860 0.860
Zn1 0.077 0.586 0.586
Zn2 0.335 0.335 0.335
Zn3 0.414 0.414 0.923
Zn4 0.414 0.923 0.414
Zn5 0.500 0.500 0.500
Zn6 0.586 0.077 0.586
Zn7 0.586 0.586 0.077
Zn8 0.665 0.665 0.665
Zn9 0.923 0.414 0.414

Computed properties:
**SG**: R-3m (166)
**Density**: 8.310 Mg/m³

***

| no. | V (Å³/atom) | ΔH_f (0 K) (eV per atom) | raw total energy (eV/cell) |
| --- | --- | --- | --- |
| 1 | 31.75 | 0.139 | -19.63 |
| 2 | 32.52 | 0.153 | -81.52 |
| 3 | 31.18 | 0.009 | -84.34 |
| 4 | 35.58 | 0.724 | -79.15 |
| 5 | 27.18 | -0.163 | -17.56 |
| 6 | 30.16 | 0.044 | -62.13 |
| 7 | 30.37 | 0.045 | -62.23 |
| 8 | 29.36 | 0.210 | -23.34 |
| 9 | 30.67 | 0.051 | -69.61 |
| 10 | 24.66 | -0.200 | -23.55 |
| 11 | 28.98 | -0.068 | -33.92 |
| 12 | 18.99 | -0.334 | -16.27 |
| 13 | 27.04 | -0.154 | -26.56 |
| 14 | 28.00 | -0.099 | -24.72 |
| 15 | 25.81 | -0.068 | -57.37 |
| 16 | 19.09 | -0.334 | -32.56 |
| 17 | 26.42 | 0.042 | -14.87 |
| 18 | 29.23 | 0.049 | -32.86 |
| 19 | 26.90 | -0.088 | -26.06 |
| 20 | 18.08 | -0.315 | -28.97 |